Rb2VBiO6: relaxed, GGA+U.

Calculated density (g/cm3): 4.4
M_tot (μB per formula unit): 0.5
Space group: P-3m1, No. 164
VASP energy (eV/f.u.): -56.11

Cell lengths 6.435, 6.435, 5.575 Å; angles 90.00, 90.00, 120.00 degrees
Positions (direct):
1 Rb 0.333 0.667 0.141
2 Rb 0.667 0.333 0.859
3 V 0.000 0.000 0.000
4 Bi 0.000 0.000 0.500
5 O 0.136 0.272 0.787
6 O 0.136 0.864 0.787
7 O 0.272 0.136 0.213
8 O 0.728 0.864 0.787
9 O 0.864 0.136 0.213
10 O 0.864 0.728 0.213